Below is GaW2N3 after structural relaxation, with properties calculated at the GGA-PBE level.

a = 7.521 Å, b = 7.521 Å, c = 8.669 Å
α = 92.28°, β = 92.28°, γ = 138.14°
Element x y z (fractional)
Ga (0.190, 0.213, 0.363)
Ga (0.213, 0.190, 0.863)
Ga (0.787, 0.810, 0.137)
Ga (0.810, 0.787, 0.637)
W (0.007, 0.544, 0.840)
W (0.183, 0.477, 0.602)
W (0.456, 0.993, 0.660)
W (0.477, 0.183, 0.102)
W (0.523, 0.817, 0.898)
W (0.544, 0.007, 0.340)
W (0.817, 0.523, 0.398)
W (0.993, 0.456, 0.160)
N (0.047, 0.649, 0.617)
N (0.175, 0.825, 0.250)
N (0.215, 0.528, 0.011)
N (0.351, 0.953, 0.883)
N (0.451, 0.549, 0.750)
N (0.472, 0.785, 0.489)
N (0.528, 0.215, 0.511)
N (0.549, 0.451, 0.250)
N (0.649, 0.047, 0.117)
N (0.785, 0.472, 0.989)
N (0.825, 0.175, 0.750)
N (0.953, 0.351, 0.383)

Below is CsFeTe2I after structural relaxation, with properties calculated at the GGA-PBE level.

a = 5.117 Å, b = 5.117 Å, c = 6.210 Å
α = 90.00°, β = 90.00°, γ = 90.00°
Element x y z (fractional)
Cs (0.000, 0.000, 0.000)
Fe (0.500, 0.500, 0.500)
Te (0.000, 0.500, 0.500)
Te (0.500, 0.000, 0.500)
I (0.500, 0.500, 0.000)

no.,formation energy from raw total energies (eV/atom),M_tot (μB/cell)
1,0.0780,0.0
2,-0.1343,0.0